Record 1
# MnInAg2

Crystalline MnInAg2 at its relaxed geometry (PBE, Alexandria via LeMat-Bulk).

abc: 3.1088 3.1088 27.4000
angles: 90.00 90.00 120.00
Space group R-3m (No. 166, hexagonal axes)
Inequivalent atoms, fractional coordinates:
1 Mn 0.0000 0.0000 0.0000 (multiplicity 3)
2 In 0.0000 0.0000 0.5000 (multiplicity 3)
3 Ag 0.0000 0.0000 0.2552 (multiplicity 6)

Electronic total energy   -4.14 eV/atom

Record 2
# Mn2InAg

Crystalline Mn2InAg at its relaxed geometry (PBE, Alexandria via LeMat-Bulk).

abc: 4.153 4.153 7.929
angles: 90.00 90.00 90.00
Space group I4/mmm (No. 139)
Inequivalent atoms, fractional coordinates:
1 Mn 0.000 0.500 0.250 (multiplicity 4)
2 In 0.000 0.000 0.000 (multiplicity 2)
3 Ag 0.000 0.000 0.500 (multiplicity 2)

Electronic total energy   -5.73 eV/atom

Record 3
# MnInAg2

Crystalline MnInAg2 at its relaxed geometry (PBE, Alexandria via LeMat-Bulk).

abc: 2.968 4.853 5.146
angles: 90.00 93.80 90.00
Space group P2/m (No. 10)
Inequivalent atoms, fractional coordinates:
1 Mn 0.000 0.000 0.000 (multiplicity 1)
2 In 0.500 0.000 0.500 (multiplicity 1)
3 Ag 0.250 0.500 0.759 (multiplicity 2)

Electronic total energy   -4.22 eV/atom

Record 4
# Mn2InAg

Crystalline Mn2InAg at its relaxed geometry (PBE, Alexandria via LeMat-Bulk).

abc: 4.008 4.118 4.170
angles: 90.00 90.00 90.00
Space group Pmmm (No. 47)
Inequivalent atoms, fractional coordinates:
1 Mn 0.000 0.000 0.000 (multiplicity 1)
2 Mn 0.000 0.500 0.500 (multiplicity 1)
3 In 0.500 0.000 0.500 (multiplicity 1)
4 Ag 0.500 0.500 0.000 (multiplicity 1)

Electronic total energy   -5.73 eV/atom